This record from the Open Quantum Materials Database describes an optimized crystal structure of NbBiPO. The functional is PBE.

```
NbBiPO
1.0
3.6678 0.0000 0.0000
0.0000 8.7387 0.0000
0.0000 0.0000 5.1195
Nb Bi P O
2 2 2 2
Cartesian
0.0000 1.0316 0.0000 Nb
0.0000 7.7071 2.5597 Nb
1.8339 3.4982 2.6295 Bi
1.8339 5.2405 0.0697 Bi
0.0000 1.3940 2.5518 P
0.0000 7.3447 5.1115 P
1.8339 1.7471 5.1155 O
1.8339 6.9915 2.5557 O
```

- relative energy among the computed polymorphs (kJ/mol of formula units) = 0.0
- total energy (eV per atom) = -6.929
- M_tot (μB per formula unit) = 0.00